Entry w
# ScSb5

A relaxed ScSb5 crystal (PBE, Alexandria via LeMat-Bulk).

Cell and atoms, written as CIF:
```
data_ScSb5
_symmetry_space_group_name_H-M 'A m m 2'
_symmetry_Int_Tables_number 38
_symmetry_space_group_name_Hall 'A 2 -2'
_cell_length_a 4.498
_cell_length_b 4.520
_cell_length_c 16.155
_cell_angle_alpha 90.00
_cell_angle_beta 90.00
_cell_angle_gamma 90.00
loop_
_atom_site_label
_atom_site_type_symbol
_atom_site_fract_x
_atom_site_fract_y
_atom_site_fract_z
Sc1 Sc 0.000 0.000 0.000
Sb1 Sb 0.000 0.000 0.341
Sb2 Sb 0.000 0.000 0.627
Sb3 Sb 0.500 0.000 0.135
Sb4 Sb 0.500 0.000 0.469
Sb5 Sb 0.500 0.000 0.770
```

Results
Total magnetization   0.00 Bohr magnetons per cell
Crystal system   orthorhombic
V   27.37 A^3/atom



Entry x
# ScSb5

A relaxed ScSb5 crystal (PBE, Alexandria via LeMat-Bulk).

Cell and atoms, written as CIF:
```
data_ScSb5
_symmetry_space_group_name_H-M 'P 4/m m m'
_symmetry_Int_Tables_number 123
_symmetry_space_group_name_Hall '-P 4 2'
_cell_length_a 3.200
_cell_length_b 3.200
_cell_length_c 16.267
_cell_angle_alpha 90.00
_cell_angle_beta 90.00
_cell_angle_gamma 90.00
loop_
_atom_site_label
_atom_site_type_symbol
_atom_site_fract_x
_atom_site_fract_y
_atom_site_fract_z
Sc1 Sc 0.000 0.000 0.000
Sb1 Sb 0.000 0.000 0.341
Sb2 Sb 0.500 0.500 0.134
Sb3 Sb 0.500 0.500 0.500
```

Results
Total magnetization   0.00 Bohr magnetons per cell
Crystal system   tetragonal
V   27.76 A^3/atom



Entry y
# ScSb5

A relaxed ScSb5 crystal (PBE, Alexandria via LeMat-Bulk).

Cell and atoms, written as CIF:
```
data_ScSb5
_symmetry_space_group_name_H-M 'C 1 m 1'
_symmetry_Int_Tables_number 8
_symmetry_space_group_name_Hall 'C -2y'
_cell_length_a 11.417
_cell_length_b 3.874
_cell_length_c 8.233
_cell_angle_alpha 90.00
_cell_angle_beta 115.66
_cell_angle_gamma 90.00
loop_
_atom_site_label
_atom_site_type_symbol
_atom_site_fract_x
_atom_site_fract_y
_atom_site_fract_z
Sc1 Sc 0.000 0.000 0.000
Sb1 Sb 0.042 0.000 0.639
Sb2 Sb 0.204 0.500 0.300
Sb3 Sb 0.214 0.500 0.932
Sb4 Sb 0.342 0.000 0.698
Sb5 Sb 0.438 0.000 0.243
```

Results
Total magnetization   0.00 Bohr magnetons per cell
Crystal system   monoclinic
V   27.35 A^3/atom



Calculated relative energies: entry w 0.021; entry x 0.099; entry y 0.000, given in eV/atom



Entry w
# Sc5Sb

A relaxed Sc5Sb crystal (PBE, Alexandria via LeMat-Bulk).

Cell and atoms, written as CIF:
```
data_Sc5Sb
_symmetry_space_group_name_H-M 'P -6 2 m'
_symmetry_Int_Tables_number 189
_symmetry_space_group_name_Hall 'P -6 -2'
_cell_length_a 5.6373
_cell_length_b 5.6373
_cell_length_c 5.0794
_cell_angle_alpha 90.00
_cell_angle_beta 90.00
_cell_angle_gamma 120.00
loop_
_atom_site_label
_atom_site_type_symbol
_atom_site_fract_x
_atom_site_fract_y
_atom_site_fract_z
Sc1 Sc 0.0000 0.6822 0.0000
Sc2 Sc 0.3333 0.6667 0.5000
Sb1 Sb 0.0000 0.0000 0.5000
```

Results
Total magnetization   0.01 Bohr magnetons per cell
Crystal system   hexagonal
V   23.30 A^3/atom



Entry x
# Sc5Sb

A relaxed Sc5Sb crystal (PBE, Alexandria via LeMat-Bulk).

Cell and atoms, written as CIF:
```
data_Sc5Sb
_symmetry_space_group_name_H-M 'P -3 m 1'
_symmetry_Int_Tables_number 164
_symmetry_space_group_name_Hall '-P 3 2"'
_cell_length_a 4.9879
_cell_length_b 4.9879
_cell_length_c 6.5480
_cell_angle_alpha 90.00
_cell_angle_beta 90.00
_cell_angle_gamma 120.00
loop_
_atom_site_label
_atom_site_type_symbol
_atom_site_fract_x
_atom_site_fract_y
_atom_site_fract_z
Sc1 Sc 0.0000 0.0000 0.0000
Sc2 Sc 0.3333 0.6667 0.1298
Sc3 Sc 0.3333 0.6667 0.6545
Sb1 Sb 0.0000 0.0000 0.5000
```

Results
Total magnetization   0.00 Bohr magnetons per cell
Crystal system   trigonal
V   23.52 A^3/atom



Entry y
# Sc5Sb

A relaxed Sc5Sb crystal (PBE, Alexandria via LeMat-Bulk).

Cell and atoms, written as CIF:
```
data_Sc5Sb
_symmetry_space_group_name_H-M 'A m m 2'
_symmetry_Int_Tables_number 38
_symmetry_space_group_name_Hall 'A 2 -2'
_cell_length_a 4.980
_cell_length_b 3.433
_cell_length_c 16.573
_cell_angle_alpha 90.00
_cell_angle_beta 90.00
_cell_angle_gamma 90.00
loop_
_atom_site_label
_atom_site_type_symbol
_atom_site_fract_x
_atom_site_fract_y
_atom_site_fract_z
Sc1 Sc 0.000 0.000 0.000
Sc2 Sc 0.000 0.000 0.320
Sc3 Sc 0.000 0.000 0.662
Sc4 Sc 0.500 0.000 0.113
Sc5 Sc 0.500 0.000 0.446
Sb1 Sb 0.500 0.000 0.775
```

Results
Total magnetization   0.00 Bohr magnetons per cell
Crystal system   orthorhombic
V   23.61 A^3/atom



Entry z
# Sc5Sb

A relaxed Sc5Sb crystal (PBE, Alexandria via LeMat-Bulk).

Cell and atoms, written as CIF:
```
data_Sc5Sb
_symmetry_space_group_name_H-M 'P 4/m m m'
_symmetry_Int_Tables_number 123
_symmetry_space_group_name_Hall '-P 4 2'
_cell_length_a 3.235
_cell_length_b 3.235
_cell_length_c 13.908
_cell_angle_alpha 90.00
_cell_angle_beta 90.00
_cell_angle_gamma 90.00
loop_
_atom_site_label
_atom_site_type_symbol
_atom_site_fract_x
_atom_site_fract_y
_atom_site_fract_z
Sc1 Sc 0.000 0.000 0.000
Sc2 Sc 0.000 0.000 0.339
Sc3 Sc 0.500 0.500 0.170
Sb1 Sb 0.500 0.500 0.500
```

Results
Total magnetization   0.00 Bohr magnetons per cell
Crystal system   tetragonal
V   24.26 A^3/atom



Calculated relative energies: entry w 0.000; entry x 0.075; entry y 0.026; entry z 0.158, given in eV/atom



Entry w
# Sc5Sb3

A relaxed Sc5Sb3 crystal (PBE, Alexandria via LeMat-Bulk).

Cell and atoms, written as CIF:
```
data_Sc5Sb3
_symmetry_space_group_name_H-M 'I 4/m c m'
_symmetry_Int_Tables_number 140
_symmetry_space_group_name_Hall '-I 4 2c'
_cell_length_a 11.178
_cell_length_b 11.178
_cell_length_c 5.876
_cell_angle_alpha 90.00
_cell_angle_beta 90.00
_cell_angle_gamma 90.00
loop_
_atom_site_label
_atom_site_type_symbol
_atom_site_fract_x
_atom_site_fract_y
_atom_site_fract_z
Sc1 Sc 0.000 0.500 0.250
Sc2 Sc 0.079 0.222 0.000
Sb1 Sb 0.000 0.000 0.250
Sb2 Sb 0.163 0.337 0.500
```

Results
Total magnetization   2.92 Bohr magnetons per cell
Crystal system   tetragonal
V   22.94 A^3/atom



Entry x
# Sc5Sb3

A relaxed Sc5Sb3 crystal (PBE, Alexandria via LeMat-Bulk).

Cell and atoms, written as CIF:
```
data_Sc5Sb3
_symmetry_space_group_name_H-M 'P 63/m c m'
_symmetry_Int_Tables_number 193
_symmetry_space_group_name_Hall '-P 6c 2'
_cell_length_a 8.4645
_cell_length_b 8.4645
_cell_length_c 5.9221
_cell_angle_alpha 90.00
_cell_angle_beta 90.00
_cell_angle_gamma 120.00
loop_
_atom_site_label
_atom_site_type_symbol
_atom_site_fract_x
_atom_site_fract_y
_atom_site_fract_z
Sc1 Sc 0.0000 0.2455 0.2500
Sc2 Sc 0.3333 0.6667 0.0000
Sb1 Sb 0.0000 0.3879 0.7500
```

Results
Total magnetization   1.55 Bohr magnetons per cell
Crystal system   hexagonal
V   22.97 A^3/atom



Calculated relative energies: entry w 0.083; entry x 0.000, given in eV/atom



Entry w
# Sc5Sb3

A relaxed Sc5Sb3 crystal (PBE, Alexandria via LeMat-Bulk).

Cell and atoms, written as CIF:
```
data_Sc5Sb3
_symmetry_space_group_name_H-M 'P n m a'
_symmetry_Int_Tables_number 62
_symmetry_space_group_name_Hall '-P 2ac 2n'
_cell_length_a 11.133
_cell_length_b 8.774
_cell_length_c 7.661
_cell_angle_alpha 90.00
_cell_angle_beta 90.00
_cell_angle_gamma 90.00
loop_
_atom_site_label
_atom_site_type_symbol
_atom_site_fract_x
_atom_site_fract_y
_atom_site_fract_z
Sc1 Sc 0.006 0.250 0.025
Sc2 Sc 0.065 0.060 0.695
Sc3 Sc 0.213 0.750 0.343
Sc4 Sc 0.231 0.250 0.323
Sb1 Sb 0.024 0.750 0.594
Sb2 Sb 0.175 0.510 0.064
```

Results
Total magnetization   0.00 Bohr magnetons per cell
Crystal system   orthorhombic
V   23.39 A^3/atom



Entry x
# Sc5Sb3

A relaxed Sc5Sb3 crystal (PBE, Alexandria via LeMat-Bulk).

Cell and atoms, written as CIF:
```
data_Sc5Sb3
_symmetry_space_group_name_H-M 'C m m m'
_symmetry_Int_Tables_number 65
_symmetry_space_group_name_Hall '-C 2 2'
_cell_length_a 7.688
_cell_length_b 10.314
_cell_length_c 4.682
_cell_angle_alpha 90.00
_cell_angle_beta 90.00
_cell_angle_gamma 90.00
loop_
_atom_site_label
_atom_site_type_symbol
_atom_site_fract_x
_atom_site_fract_y
_atom_site_fract_z
Sc1 Sc 0.000 0.000 0.000
Sc2 Sc 0.212 0.500 0.500
Sc3 Sc 0.250 0.250 0.000
Sb1 Sb 0.000 0.196 0.500
Sb2 Sb 0.000 0.500 0.000
```

Results
Total magnetization   0.02 Bohr magnetons per cell
Crystal system   orthorhombic
V   23.20 A^3/atom



Calculated relative energies: entry w 0.000; entry x 0.165, given in eV/atom